No. 1
First-principles (PBE-GGA) data for an optimized crystal structure of Co5Pb, as listed in Alexandria.

extended XYZ file:
```
6
Lattice="4.046 -1.825 0.000 4.046 1.825 0.000 -1.697 0.000 5.313" Properties=species:S:1:pos:R:3 pbc="T T T"
Co 0.000 0.000 0.000
Co 2.378 0.000 0.703
Co 1.563 0.000 3.793
Co 4.833 0.000 1.520
Co 4.018 0.000 4.610
Pb -0.849 0.000 2.656
```

## Properties
Spin magnetization   1.2090 μB/atom
VASP energy   -6.25 eV/atom
Formation energy   1.71 eV/f.u.

=====

No. 2
First-principles (PBE-GGA) data for an optimized crystal structure of LaTmIrRh, as listed in Alexandria.

extended XYZ file:
```
4
Lattice="0.000 3.492 3.492 3.492 0.000 3.492 3.492 3.492 0.000" Properties=species:S:1:pos:R:3 pbc="T T T"
La 0.000 0.000 0.000
Tm 3.492 3.492 3.492
Ir 1.746 1.746 1.746
Rh 5.238 5.238 5.238
```

## Properties
Spin magnetization   0.0000 μB/atom
VASP energy   -7.15 eV/atom
Formation energy   -2.99 eV/f.u.

=====

No. 3
First-principles (PBE-GGA) data for an optimized crystal structure of KNiMo2, as listed in Alexandria.

extended XYZ file:
```
4
Lattice="2.777 0.000 0.000 0.000 3.246 0.000 -0.699 0.000 8.899" Properties=species:S:1:pos:R:3 pbc="T T T"
K 0.000 0.000 0.000
Ni 0.709 1.623 6.356
Mo 1.166 1.623 3.207
Mo 2.063 0.000 4.913
```

## Properties
Spin magnetization   0.0000 μB/atom
VASP energy   -6.47 eV/atom
Formation energy   2.67 eV/f.u.

=====

No. 4
First-principles (PBE-GGA) data for an optimized crystal structure of Mg2Fe2Rh, as listed in Alexandria.

extended XYZ file:
```
10
Lattice="6.128 0.000 0.000 0.000 6.128 0.000 0.000 0.000 4.184" Properties=species:S:1:pos:R:3 pbc="T T T"
Mg 1.100 1.965 0.000
Mg 1.965 5.029 0.000
Mg 4.164 1.100 0.000
Mg 5.029 4.164 0.000
Fe 0.748 3.812 2.092
Fe 2.317 0.748 2.092
Fe 3.812 5.381 2.092
Fe 5.381 2.317 2.092
Rh 0.000 0.000 2.092
Rh 3.064 3.064 2.092
```

## Properties
Spin magnetization   0.7907 μB/atom
VASP energy   -5.36 eV/atom
Formation energy   0.69 eV/f.u.

=====

No. 5
First-principles (PBE-GGA) data for an optimized crystal structure of TiBi2RhS, as listed in Alexandria.

extended XYZ file:
```
5
Lattice="5.441 0.000 0.000 0.000 5.441 0.000 0.000 0.000 4.396" Properties=species:S:1:pos:R:3 pbc="T T T"
Ti 0.000 0.000 0.000
Bi 0.000 2.721 0.000
Bi 2.721 0.000 0.000
Rh 2.721 2.721 2.198
S 0.000 0.000 2.198
```

## Properties
Formation energy (no corrections)   0.42 eV per atom
Spin magnetization   0.0000 μB/atom
VASP energy   -5.01 eV/atom

=====

No. 6
First-principles (PBE-GGA) data for an optimized crystal structure of CaPuPdRh, as listed in Alexandria.

extended XYZ file:
```
4
Lattice="3.396 0.000 0.000 0.000 3.396 0.000 0.000 0.000 7.334" Properties=species:S:1:pos:R:3 pbc="T T T"
Ca 0.000 0.000 0.000
Pu 0.000 0.000 3.761
Pd 1.698 1.698 1.923
Rh 1.698 1.698 5.362
```

## Properties
Spin magnetization   1.2715 μB/atom
VASP energy   -7.70 eV/atom
Formation energy   -1.92 eV/f.u.

=====

No. 7
First-principles (PBE-GGA) data for an optimized crystal structure of CaCeCl5, as listed in Alexandria.

extended XYZ file:
```
14
Lattice="5.959 -4.262 0.000 5.959 4.262 0.000 -4.605 0.000 9.340" Properties=species:S:1:pos:R:3 pbc="T T T"
Ca 2.505 4.017 7.005
Ca 4.808 -4.017 2.335
Ce 5.959 0.000 0.000
Ce 3.657 0.000 4.670
Cl 5.349 2.652 0.401
Cl 1.355 0.452 3.305
Cl 4.267 2.652 4.269
Cl -0.948 -0.452 7.975
Cl 2.505 1.123 7.005
Cl 4.808 -1.123 2.335
Cl 8.261 0.452 1.365
Cl 3.046 -2.652 5.070
Cl 5.959 -0.452 6.035
Cl 1.964 -2.652 8.939
```

## Properties
Formation energy (no corrections)   -2.22 eV per atom
Spin magnetization   0.1429 μB/atom
VASP energy   -4.67 eV/atom

=====

No. 8
First-principles (PBE-GGA) data for an optimized crystal structure of Sm2Ho3Tm6Zr, as listed in Alexandria.

extended XYZ file:
```
12
Lattice="3.026 -5.234 0.000 3.026 5.234 0.000 -2.008 0.000 11.370" Properties=species:S:1:pos:R:3 pbc="T T T"
Sm 3.026 3.488 0.000
Sm 3.026 -3.488 0.000
Ho -1.004 0.000 5.685
Ho 2.022 1.742 5.685
Ho 2.022 -1.742 5.685
Tm 0.028 1.709 8.563
Tm 1.053 0.000 2.804
Tm 0.028 -1.709 8.563
Tm 4.016 1.709 2.807
Tm 2.990 0.000 8.567
Tm 4.016 -1.709 2.807
Zr 3.026 0.000 0.000
```

## Properties
Spin magnetization   0.0000 μB/atom
VASP energy   -4.83 eV/atom
Formation energy   0.60 eV/f.u.

=====

No. 9
First-principles (PBE-GGA) data for an optimized crystal structure of TcIrSe2I, as listed in Alexandria.

extended XYZ file:
```
5
Lattice="4.668 0.000 0.000 0.000 4.668 0.000 0.000 0.000 5.688" Properties=species:S:1:pos:R:3 pbc="T T T"
Tc 0.000 0.000 0.000
Ir 2.334 2.334 2.844
Se 0.000 2.334 0.000
Se 2.334 0.000 0.000
I 0.000 0.000 2.844
```

## Properties
Formation energy (no corrections)   1.17 eV per atom
Spin magnetization   0.2722 μB/atom
VASP energy   -4.38 eV/atom

=====

No. 10
First-principles (PBE-GGA) data for an optimized crystal structure of Zr2VIr, as listed in Alexandria.

extended XYZ file:
```
8
Lattice="5.381 0.000 0.000 -0.305 5.474 0.000 -1.065 -1.810 5.077" Properties=species:S:1:pos:R:3 pbc="T T T"
Zr 0.000 0.000 0.000
Zr -0.240 2.368 2.154
Zr 1.348 -0.406 3.165
Zr 2.259 3.663 0.243
V 2.795 0.945 0.967
V 4.018 -0.449 2.458
Ir 2.400 2.573 2.839
Ir 3.935 0.883 4.501
```

## Properties
Spin magnetization   0.0000 μB/atom
VASP energy   -9.12 eV/atom
Formation energy   -1.42 eV/f.u.

=====

No. 11
First-principles (PBE-GGA) data for an optimized crystal structure of Sc4ZnAu, as listed in Alexandria.

extended XYZ file:
```
6
Lattice="0.000 4.009 4.009 4.009 0.000 4.009 4.009 4.009 0.000" Properties=species:S:1:pos:R:3 pbc="T T T"
Sc 1.002 1.002 1.002
Sc 3.007 3.007 1.002
Sc 3.007 1.002 3.007
Sc 1.002 3.007 3.007
Zn 6.013 6.013 6.013
Au 4.009 4.009 4.009
```

## Properties
Spin magnetization   0.0000 μB/atom
VASP energy   -4.76 eV/atom
Formation energy   1.30 eV/f.u.

=====

No. 12
First-principles (PBE-GGA) data for an optimized crystal structure of Be3NiBi, as listed in Alexandria.

extended XYZ file:
```
5
Lattice="4.666 0.000 0.000 0.000 4.666 0.000 0.000 0.000 4.666" Properties=species:S:1:pos:R:3 pbc="T T T"
Be 0.000 0.000 2.333
Be 0.000 2.333 0.000
Be 2.333 0.000 0.000
Ni 2.333 2.333 2.333
Bi 0.000 0.000 0.000
```

## Properties
Spin magnetization   0.0000 μB/atom
VASP energy   -2.37 eV/atom
Formation energy   8.98 eV/f.u.